# 1
A plane-wave DFT calculation with meta-GGA SCAN was carried out for a PBEsol-optimized structure of YSiP2Cl.

Output
Final energy, eV/atom: -12.97
Space group: P4/mmm, No. 123
N(E_F), states/eV/f.u.: 4.30

a = 4.9591 Å, b = 5.2295 Å, c = 5.2295 Å
α = 90.00°, β = 90.00°, γ = 90.00°
Last column: nearest neighbours and their distance in Å.
Atoms (fractional coordinates):
1 Y 0.0000 0.0000 0.0000  2 Cl 2.48, 4 P 2.61
2 P 0.0000 0.5000 0.0000  2 Y 2.61
3 P 0.0000 0.0000 0.5000  2 Y 2.61
4 Si 0.5000 0.5000 0.5000  8 P 3.60, 4 Cl 3.70
5 Cl 0.5000 0.0000 0.0000  2 Y 2.48

***

# 2
A plane-wave DFT calculation with meta-GGA SCAN was carried out for a PBEsol-optimized structure of CuHgRh2.

Output
Final energy, eV/atom: -37.47
Space group: F-43m, No. 216
DFT formation energy, eV/atom: 0.26
N(E_F), states/eV/f.u.: 3.09

a = 4.3677 Å, b = 4.3677 Å, c = 4.3677 Å
α = 60.00°, β = 60.00°, γ = 60.00°
Last column: nearest neighbours and their distance in Å.
Atoms (fractional coordinates):
1 Cu 0.5000 0.5000 0.5000  4 Rh 2.67, 4 Hg 2.67
2 Rh 0.2500 0.2500 0.2500  4 Rh 2.67, 4 Cu 2.67
3 Hg 0.7500 0.7500 0.7500  4 Rh 2.67, 4 Cu 2.67
4 Rh 0.0000 0.0000 0.0000  4 Hg 2.67, 4 Rh 2.67

***

# 3
A plane-wave DFT calculation with meta-GGA SCAN was carried out for a PBEsol-optimized structure of LuAl6Cr6.

Output
Final energy, eV/atom: -16.50
Space group: Immm, No. 71
DFT formation energy, eV/atom: -0.18
N(E_F), states/eV/f.u.: 6.47

a = 4.9804 Å, b = 6.5829 Å, c = 6.5829 Å
α = 81.04°, β = 67.77°, γ = 67.77°
Last column: nearest neighbours and their distance in Å.
Atoms (fractional coordinates):
1 Al 0.5000 0.1879 0.8121  6 Cr 2.56-2.64, 2 Al 2.83
2 Cr 0.5000 0.0000 0.5000  4 Cr 2.48-2.49, 6 Al 2.56-2.63
3 Lu 0.0000 0.0000 0.0000  8 Al 2.87-2.96
4 Cr 0.0000 0.5000 0.0000  4 Cr 2.48-2.49, 6 Al 2.56-2.63
5 Al 0.5000 0.8121 0.1879  6 Cr 2.56-2.64, 2 Al 2.83
6 Al 0.6697 0.3303 0.3303  6 Cr 2.57-2.61, 1 Lu 2.87
7 Al 0.0000 0.6553 0.3447  6 Cr 2.61-2.63, 3 Al 2.66-2.83
8 Cr 0.0000 0.0000 0.5000  4 Cr 2.48-2.49, 6 Al 2.56-2.63
9 Cr 0.5000 0.5000 0.0000  4 Cr 2.48-2.49, 6 Al 2.56-2.63
10 Cr 0.7414 0.7586 0.7586  4 Cr 2.48, 6 Al 2.61-2.64
11 Al 0.0000 0.3447 0.6553  6 Cr 2.61-2.63, 3 Al 2.66-2.83
12 Cr 0.2586 0.2414 0.2414  4 Cr 2.48, 6 Al 2.61-2.64
13 Al 0.3303 0.6697 0.6697  6 Cr 2.57-2.61, 1 Lu 2.87

***

# 4
A plane-wave DFT calculation with meta-GGA SCAN was carried out for a PBEsol-optimized structure of KPH5C2S2N3O3.

Output
Final energy, eV/atom: -7.99
Space group: P-1, No. 2
N(E_F), states/eV/f.u.: 0.00

a = 6.4721 Å, b = 6.9723 Å, c = 10.4794 Å
α = 88.80°, β = 79.52°, γ = 83.15°
Last column: nearest neighbours and their distance in Å.
Atoms (fractional coordinates):
1 N 0.8182 0.0050 0.2234  1 H 1.07
2 K 0.3206 0.6613 0.2949  3 O 2.70-2.72
3 H 0.8808 0.7631 0.4827  1 O 1.00
4 H 0.5734 0.1433 0.9837  1 N 1.05
5 H 0.8327 0.8857 0.2879  1 N 1.07
6 S 0.1838 0.1635 0.3151  1 P 1.97, 1 H 2.14
7 C 0.3093 0.0025 0.8650  1 O 1.25, 2 N 1.35-1.38
8 O 0.5905 0.8568 0.1263  1 C 1.25
9 S 0.6691 0.3517 0.3941  1 P 1.99, 1 H 2.12
10 H 0.1673 0.1143 0.7121  1 N 1.07
11 H 0.9689 0.5731 0.9013  1 N 1.06
12 N 0.9266 0.3199 0.1195  1 H 1.06
13 C 0.8046 0.2965 0.0303  1 O 1.25, 2 N 1.35-1.38
14 O 0.4095 0.1432 0.8737  1 C 1.25
15 N 0.0734 0.6801 0.8805  1 H 1.06
16 O 0.9007 0.7200 0.3901  2 H 1.00
17 K 0.6794 0.3387 0.7051  3 O 2.70-2.72
18 S 0.8162 0.8365 0.6849  1 P 1.97, 1 H 2.14
19 N 0.1818 0.9950 0.7766  1 H 1.07
20 O 0.8059 0.3999 0.9310  1 C 1.25
21 N 0.6769 0.1503 0.0500  1 H 1.05
22 O 0.0993 0.2800 0.6099  2 H 1.00
23 P 0.0980 0.7885 0.7325  2 N 1.70
24 H 0.4266 0.8567 0.0163  1 N 1.05
25 H 0.1192 0.2369 0.5173  1 O 1.00
26 C 0.6907 0.9975 0.1350  1 O 1.25, 2 N 1.35-1.38
27 H 0.8276 0.6005 0.3934  1 O 1.00
28 C 0.1954 0.7035 0.9697  1 O 1.25, 2 N 1.35-1.38
29 H 0.0311 0.4269 0.0987  1 N 1.06
30 O 0.1941 0.6001 0.0690  1 C 1.25
31 P 0.9020 0.2115 0.2675  2 N 1.70
32 N 0.3231 0.8497 0.9500  1 H 1.05
33 H 0.1724 0.3995 0.6066  1 O 1.00
34 S 0.3309 0.6483 0.6059  1 P 1.99, 1 H 2.12

***

# 5
A plane-wave DFT calculation with meta-GGA SCAN was carried out for a PBEsol-optimized structure of FeRh2Cl.

Output
Final energy, eV/atom: -23.18
Space group: Cmmm, No. 65
N(E_F), states/eV/f.u.: 3.90

a = 2.8456 Å, b = 2.7990 Å, c = 8.2048 Å
α = 90.00°, β = 90.00°, γ = 120.55°
Last column: nearest neighbours and their distance in Å.
Atoms (fractional coordinates):
1 Cl 0.5000 0.0000 0.5000  4 Rh 2.56, 6 Cl 2.80-2.85
2 Fe 0.5000 0.0000 0.0000  4 Rh 2.44
3 Rh 0.0000 0.0000 0.2411  2 Fe 2.44, 2 Cl 2.56
4 Rh 0.0000 0.0000 0.7589  2 Fe 2.44, 2 Cl 2.56

***

# 6
A plane-wave DFT calculation with meta-GGA SCAN was carried out for a PBEsol-optimized structure of Fe3Co5.

Output
Final energy, eV/atom: -17.72
Space group: Amm2, No. 38
DFT formation energy, eV/atom: -0.10
N(E_F), states/eV/f.u.: 5.63

a = 2.7573 Å, b = 5.6775 Å, c = 6.1943 Å
α = 117.28°, β = 90.00°, γ = 90.00°
Last column: nearest neighbours and their distance in Å.
Atoms (fractional coordinates):
1 Fe 0.0000 0.2482 0.7451  6 Co 2.39-2.40, 2 Fe 2.42
2 Co 0.0000 0.7575 0.7587  2 Fe 2.38, 7 Co 2.42-2.66
3 Co 0.5000 0.3759 0.5022  4 Fe 2.39-2.40, 4 Co 2.43-2.44
4 Co 0.5000 0.6163 0.0000  4 Fe 2.40, 4 Co 2.42
5 Fe 0.5000 0.1265 0.0000  4 Co 2.38, 4 Fe 2.42
6 Co 0.5000 0.8737 0.4978  4 Fe 2.39-2.40, 4 Co 2.43-2.44
7 Co 0.0000 0.9988 0.2413  2 Fe 2.38, 7 Co 2.42-2.66
8 Fe 0.0000 0.5031 0.2549  6 Co 2.39-2.40, 2 Fe 2.42

***

# 7
A plane-wave DFT calculation with meta-GGA SCAN was carried out for a PBEsol-optimized structure of CuSb2Cl.

Output
Final energy, eV/atom: -24.39
Space group: Immm, No. 71
N(E_F), states/eV/f.u.: 1.46

a = 3.2706 Å, b = 4.8389 Å, c = 6.2514 Å
α = 112.77°, β = 105.16°, γ = 90.00°
Last column: nearest neighbours and their distance in Å.
Atoms (fractional coordinates):
1 Sb 0.6862 0.6862 0.3723  2 Cu 2.63
2 Cu 0.0000 0.5000 0.0000  4 Sb 2.63, 4 Cl 2.92
3 Cl 0.5000 0.0000 0.0000  4 Cu 2.92, 4 Sb 3.18, 2 Cl 3.27
4 Sb 0.3138 0.3138 0.6277  2 Cu 2.63

***

# 8
A plane-wave DFT calculation with meta-GGA SCAN was carried out for a PBEsol-optimized structure of TeOsCl.

Output
Final energy, eV/atom: -38.46
Space group: Fmm2, No. 42
N(E_F), states/eV/f.u.: 2.77

a = 3.0620 Å, b = 3.1452 Å, c = 7.4728 Å
α = 84.28°, β = 78.18°, γ = 60.87°
Last column: nearest neighbours and their distance in Å.
Atoms (fractional coordinates):
1 Cl 0.0316 0.0000 0.9368  2 Os 2.44
2 Te 0.3071 0.0000 0.3857  2 Os 2.63
3 Os 0.6612 0.0000 0.6775  2 Cl 2.44, 2 Te 2.63

***

# 9
A plane-wave DFT calculation with meta-GGA SCAN was carried out for a PBEsol-optimized structure of Ca2ZrSi.

Output
Final energy, eV/atom: -14.88
Space group: I-4m2, No. 119
N(E_F), states/eV/f.u.: 1.94

a = 4.5216 Å, b = 4.5216 Å, c = 5.5073 Å
α = 114.24°, β = 114.24°, γ = 90.00°
Last column: nearest neighbours and their distance in Å.
Atoms (fractional coordinates):
1 Zr 0.2500 0.7500 0.5000  4 Si 3.18, 8 Ca 3.18-3.20
2 Si 0.5000 0.5000 0.0000  4 Zr 3.18, 8 Ca 3.18-3.20
3 Ca 0.0000 0.0000 0.0000  4 Zr 3.18, 4 Ca 3.18, 4 Si 3.20
4 Ca 0.7500 0.2500 0.5000  4 Si 3.18, 4 Ca 3.18, 4 Zr 3.20

***

# 10
A plane-wave DFT calculation with meta-GGA SCAN was carried out for a PBEsol-optimized structure of SrAsAuS2.

Output
Final energy, eV/atom: -26.09
Space group: P4/mmm, No. 123
N(E_F), states/eV/f.u.: 5.12

a = 4.7284 Å, b = 4.7284 Å, c = 5.7365 Å
α = 90.00°, β = 90.00°, γ = 90.00°
Last column: nearest neighbours and their distance in Å.
Atoms (fractional coordinates):
1 S 0.0000 0.5000 0.0000  2 Au 2.36
2 Sr 0.0000 0.0000 0.5000  2 Au 2.87
3 S 0.5000 0.0000 0.0000  2 Au 2.36
4 Au 0.0000 0.0000 0.0000  4 S 2.36
5 As 0.5000 0.5000 0.5000  4 Sr 3.34, 8 S 3.72

***

# 11
A plane-wave DFT calculation with meta-GGA SCAN was carried out for a PBEsol-optimized structure of K2ReSb.

Output
Final energy, eV/atom: -30.28
Space group: P2/m, No. 10
N(E_F), states/eV/f.u.: 2.90

a = 3.5000 Å, b = 4.5325 Å, c = 5.7772 Å
α = 90.17°, β = 90.00°, γ = 90.00°
Last column: nearest neighbours and their distance in Å.
Atoms (fractional coordinates):
1 Sb 0.0000 0.5000 0.5000  4 Re 2.86
2 Re 0.5000 0.0000 0.5000  4 Sb 2.86
3 K 0.0000 0.0000 0.0000  4 K 2.86
4 K 0.5000 0.5000 0.0000  4 K 2.86

***

# 12
A plane-wave DFT calculation with meta-GGA SCAN was carried out for a PBEsol-optimized structure of K2TaHg.

Output
Final energy, eV/atom: -36.99
Space group: Imm2, No. 44
DFT formation energy, eV/atom: 0.87
N(E_F), states/eV/f.u.: 2.98

a = 2.8929 Å, b = 6.4163 Å, c = 7.4938 Å
α = 115.35°, β = 101.13°, γ = 90.00°
Last column: nearest neighbours and their distance in Å.
Atoms (fractional coordinates):
1 Ta 0.5423 0.5423 0.0846  2 Hg 2.82, 2 Ta 2.89
2 K 0.7648 0.2648 0.5295  2 K 2.89
3 K 0.9680 0.9680 0.9361  2 K 2.89
4 Hg 0.2249 0.7249 0.4498  2 Ta 2.82, 2 Hg 2.89

***

# 13
A plane-wave DFT calculation with meta-GGA SCAN was carried out for a PBEsol-optimized structure of NaSbP2O.

Output
Final energy, eV/atom: -12.74
Space group: P4/mmm, No. 123
N(E_F), states/eV/f.u.: 3.46

a = 3.9117 Å, b = 4.8831 Å, c = 4.8831 Å
α = 90.00°, β = 90.00°, γ = 90.00°
Last column: nearest neighbours and their distance in Å.
Atoms (fractional coordinates):
1 O 0.5000 0.0000 0.0000  2 Na 1.96
2 Na 0.0000 0.0000 0.0000  2 O 1.96
3 Sb 0.5000 0.5000 0.5000  8 P 3.13, 4 O 3.45
4 P 0.0000 0.0000 0.5000  2 Na 2.44
5 P 0.0000 0.5000 0.0000  2 Na 2.44